A geometry-optimized ZrPAu3 structure. Source: Alexandria via LeMat-Bulk, functional PBE-GGA.

Computed properties:
Energy relative to the lowest polymorph listed for this composition = 0.0 meV/atom
SG = Pm-3m, No. 221
Formation energy from the elements = 0.235 eV/atom
DOS(E_F) = 5.2 states/eV per cell
Total DFT energy (no corrections) = -4.52 eV/atom
Calculated density = 11.417 Mg/m³

Geometry as POSCAR:
```
ZrPAu3
1.0
4.698 0.000 0.000
0.000 4.698 0.000
0.000 0.000 4.698
P Au Zr
1 3 1
Cartesian
0.000 0.000 0.000 P
0.000 2.349 0.000 Au
0.000 0.000 2.349 Au
2.349 0.000 0.000 Au
2.349 2.349 2.349 Zr
```



A geometry-optimized V3SbC structure. Source: Alexandria via LeMat-Bulk, functional PBE-GGA.

Computed properties:
SG = Pm-3m, No. 221
E_form (uncorrected) = -0.180 eV/atom
DOS(E_F) = 7.3 states/eV per cell
Total DFT energy (no corrections) = -8.32 eV/atom
Calculated density = 7.090 Mg/m³

Geometry as POSCAR:
```
V3SbC
1.0
-2.336 -1.549 -2.943
-2.673 -1.264 2.788
-1.977 3.538 -0.292
Sb C V
1 1 3
Cartesian
-3.494 0.363 -0.223 Sb
0.000 0.000 0.000 C
-1.337 -0.632 1.394 V
-0.989 1.769 -0.146 V
-1.168 -0.774 -1.471 V
```



A geometry-optimized MgMoAu2 structure. Source: Alexandria via LeMat-Bulk, functional PBE-GGA.

Computed properties:
SG = Pmmm, No. 47
Formation energy from the elements = 0.258 eV/atom
DOS(E_F) = 2.9 states/eV per cell
Total DFT energy (no corrections) = -4.49 eV/atom
Calculated density = 12.128 Mg/m³

Geometry as POSCAR:
```
MgMoAu2
1.0
-2.631 0.430 -1.094
-0.671 -4.952 -0.330
-1.880 -0.045 4.501
Au Mg Mo
2 1 1
Cartesian
0.000 0.000 0.000 Au
-1.651 -2.261 -0.712 Au
-2.255 0.192 1.703 Mg
-1.276 -2.498 2.086 Mo
```



Summary of magnetic moment in μB/atom
0.0688, 0.0000, 0.0001
(order as listed above)